1.
Computed, not measured: PrSmSi4Os2 after structural relaxation at the PBE level of DFT.

Values from the calculation:
Calculated density in g/cm³: 8.68
Crystal system: monoclinic
Total DFT energy (no corrections) in eV per formula unit: -59.53
V in A^3/atom: 18.7

Cell: 4.483 4.151 8.243 Å, 90.00 102.01 90.00°
Space group Pm (No. 6)
Unique sites:
Pr1 0.000 0.000 0.000 x1
Sm1 0.181 0.500 0.404 x1
Si1 0.257 0.000 0.696 x1
Si2 0.551 0.500 0.109 x1
Si3 0.629 0.000 0.294 x1
Si4 0.923 0.500 0.705 x1
Os1 0.471 0.500 0.814 x1
Os2 0.709 0.000 0.587 x1

2.
Computed, not measured: Nb5P3 after structural relaxation at the PBE level of DFT.

Values from the calculation:
Calculated density in g/cm³: 6.87
Crystal system: monoclinic
Total DFT energy (no corrections) in eV per formula unit: -71.03
V in A^3/atom: 16.9

Cell: 7.442 5.495 13.214 Å, 90.00 93.61 90.00°
Space group C2/c (No. 15)
Unique sites:
Nb1 0.104 0.215 0.426 x8
Nb2 0.201 0.268 0.795 x8
Nb3 0.250 0.250 0.000 x4
P1 0.000 0.085 0.250 x4
P2 0.080 0.399 0.612 x8

3.
Computed, not measured: HfPbO3 after structural relaxation at the PBE level of DFT.

Values from the calculation:
Calculated density in g/cm³: 10.29
Crystal system: orthorhombic
Total DFT energy (no corrections) in eV per formula unit: -41.38
V in A^3/atom: 14.0

Cell: 5.831 11.723 8.191 Å, 90.00 90.00 90.00°
Space group Pbam (No. 55)
Unique sites:
Hf1 0.245 0.125 0.250 x8
Pb1 0.223 0.379 0.000 x4
Pb2 0.225 0.370 0.500 x4
O1 0.000 0.000 0.220 x4
O2 0.000 0.500 0.208 x4
O3 0.015 0.256 0.286 x8
O4 0.223 0.592 0.500 x4
O5 0.236 0.657 0.000 x4